## YAg (PBE)

Data for an optimized crystal structure of YAg.

Cell: 3.540 3.540 9.639 Å, 90.00 90.00 120.00°
Element x y z (fractional)
Y: 0.333 0.667 0.348
Y: 0.667 0.333 0.652
Ag: 0.333 0.667 0.894
Ag: 0.667 0.333 0.106

**DOS at the Fermi energy**: 3.608 states/eV/cell
**ρ**: 6.25 g/cm3
**Formation enthalpy at 0 K**: 0.04 eV per atom
**Size of the total moment**: 0.6 Bohr magnetons per cell
**Space group**: P-3m1, No. 164

***

## Be2AuCl (PBE)

Data for an optimized crystal structure of Be2AuCl.

Cell: 3.203 3.314 6.219 Å, 90.00 90.00 90.00°
Element x y z (fractional)
Be: 0.000 0.000 0.000
Be: 0.000 0.500 0.500
Au: 0.500 0.000 0.500
Cl: 0.500 0.500 0.000

**DOS at the Fermi energy**: 1.367 states/eV/cell
**ρ**: 6.30 g/cm3
**Size of the total moment**: 0.0 Bohr magnetons per cell
**Formation energy without anion corrections**: 6.70 kcal/mol of atoms
**Space group**: Pmmm, No. 47

***

## ThBPt (PBE)

Data for an optimized crystal structure of ThBPt.

Cell: 10.608 3.595 5.886 Å, 90.00 90.00 90.00°
Element x y z (fractional)
Th: 0.078 0.250 0.227
Th: 0.422 0.750 0.727
Th: 0.578 0.250 0.273
Th: 0.922 0.750 0.773
B: 0.172 0.750 0.927
B: 0.328 0.250 0.427
B: 0.672 0.750 0.573
B: 0.828 0.250 0.073
Pt: 0.180 0.250 0.712
Pt: 0.320 0.750 0.212
Pt: 0.680 0.250 0.788
Pt: 0.820 0.750 0.288

**DOS at the Fermi energy**: 4.728 states/eV/cell
**ρ**: 12.96 g/cm3
**Formation enthalpy at 0 K**: -0.63 eV per atom
**Size of the total moment**: 0.0 Bohr magnetons per cell
**Space group**: Pnma, No. 62

***

## LiPuAg2 (PBE)

Data for an optimized crystal structure of LiPuAg2.

Cell: 10.052 10.052 10.052 Å, 17.05 17.05 17.05°
Element x y z (fractional)
Li: 0.000 0.000 0.000
Pu: 0.500 0.500 0.500
Ag: 0.260 0.260 0.260
Ag: 0.740 0.740 0.740

**DOS at the Fermi energy**: 6.756 states/eV/cell
**ρ**: 10.17 g/cm3
**Formation enthalpy at 0 K**: 0.04 eV per atom
**Size of the total moment**: 5.0 Bohr magnetons per cell
**Space group**: R-3m, No. 166

***

## TbGd2In (PBE)

Data for an optimized crystal structure of TbGd2In.

Cell: 4.850 4.850 4.914 Å, 90.00 90.00 90.00°
Element x y z (fractional)
Tb: 0.000 0.000 0.000
Gd: 0.000 0.500 0.500
Gd: 0.500 0.000 0.500
In: 0.500 0.500 0.000

**DOS at the Fermi energy**: 3.285 states/eV/cell
**ρ**: 8.45 g/cm3
**Formation enthalpy at 0 K**: -0.29 eV per atom
**Size of the total moment**: 15.5 Bohr magnetons per cell
**Space group**: P4/mmm, No. 123

***

## Li6InIr2 (PBE)

Data for an optimized crystal structure of Li6InIr2.

Cell: 5.132 5.132 5.132 Å, 96.23 96.23 96.23°
Element x y z (fractional)
Li: 0.000 0.325 0.675
Li: 0.000 0.675 0.325
Li: 0.325 0.000 0.675
Li: 0.325 0.675 0.000
Li: 0.675 0.000 0.325
Li: 0.675 0.325 0.000
In: 0.500 0.500 0.500
Ir: 0.160 0.160 0.160
Ir: 0.840 0.840 0.840

**DOS at the Fermi energy**: 4.187 states/eV/cell
**ρ**: 6.78 g/cm3
**Formation enthalpy at 0 K**: -0.17 eV per atom
**Size of the total moment**: 0.0 Bohr magnetons per cell
**Space group**: R-3m, No. 166